Below is a relaxed structure of Pr3MoCl2O6, with properties calculated at the PBE with a Hubbard U level.

Values from the calculation:
- SG: No. 12
- DFT total energy: -6.8743 eV per atom

Structure (extended XYZ):
```
12
Lattice="5.9663 -3.4115 0.0000 5.9663 3.4115 0.0000 -0.9118 0.0000 5.5693" Properties=species:S:1:pos:R:3 pbc="T T T"
Pr 0.0000 0.0000 0.0000
Pr 2.5272 1.7058 2.7846
Pr 2.5272 -1.7058 2.7846
Mo 5.5104 0.0000 2.7846
Cl 1.7601 0.0000 4.8508
Cl 9.2607 0.0000 0.7185
O 4.6290 1.6097 3.8864
O 6.3918 1.6097 1.6829
O 3.8029 0.0000 1.8562
O 7.2179 0.0000 3.7131
O 4.6290 -1.6097 3.8864
O 6.3918 -1.6097 1.6829
```